1.
VASP calculation (PBE) on a relaxed CoH3C6N6 crystal.

Unit cell a=6.5246 b=6.5246 c=5.5548 alpha=90.00 beta=90.00 gamma=120.00
Space group P-31m (No. 162)
Unique sites:
1 Co 0.0000 0.0000 0.0000 (multiplicity 1)
2 H 0.0000 0.5000 0.5000 (multiplicity 3)
3 C 0.0000 0.2339 0.1959 (multiplicity 6)
4 N 0.0000 0.3754 0.3240 (multiplicity 6)

## Properties
Total magnetization = 0.0 μB per formula unit
Total energy = -7.3584 eV/atom

=====

2.
VASP calculation (PBE) on a relaxed CoH9C3N6 crystal.

Unit cell a=11.1182 b=11.1182 c=11.1086 alpha=90.00 beta=90.00 gamma=120.00
Space group R-3 (No. 148, hexagonal axes)
Unique sites:
1 Co 0.0000 0.0000 0.0000 (multiplicity 3)
2 Co 0.0000 0.0000 0.5000 (multiplicity 3)
3 H 0.0380 0.8852 0.3142 (multiplicity 18)
4 H 0.0398 0.8007 0.4355 (multiplicity 18)
5 H 0.1069 0.5494 0.2864 (multiplicity 18)
6 C 0.0336 0.1510 0.0977 (multiplicity 18)
7 N 0.0088 0.1499 0.6033 (multiplicity 18)
8 N 0.0562 0.2444 0.1614 (multiplicity 18)

## Properties
Total magnetization = 0.1 μB per formula unit
Total energy = -6.2029 eV/atom

=====

3.
VASP calculation (PBE) on a relaxed CoH2C2N4 crystal.

Unit cell a=6.717 b=8.712 c=3.240 alpha=90.00 beta=90.00 gamma=90.00
Space group Pnnm (No. 58)
Unique sites:
1 Co 0.000 0.000 0.000 (multiplicity 2)
2 H 0.197 0.437 0.000 (multiplicity 4)
3 C 0.173 0.661 0.000 (multiplicity 4)
4 N 0.089 0.780 0.000 (multiplicity 4)
5 N 0.220 0.036 0.500 (multiplicity 4)

## Properties
Total magnetization = 3.0 μB per formula unit
Total energy = -7.1203 eV/atom